! U3Sb4Pt3, single point on PBEsol structure, DFT SCAN; values from VASP
&SYSTEM
  ibrav = 0, nat = 20, ntyp = 3
/
ATOMIC_SPECIES
U 238.03 U.upf
Sb 121.76 Sb.upf
Pt 195.08 Pt.upf
ATOMIC_POSITIONS angstrom
U 7.196 1.199 0.000
U 3.598 0.000 2.399
U 2.399 3.598 0.000
U 0.000 2.399 3.598
U 1.199 0.000 7.196
U 0.000 7.196 1.199
Sb 3.932 0.865 -0.865
Sb 6.331 -1.534 1.534
Sb 0.865 0.865 0.865
Sb 0.865 -0.865 3.932
Sb -0.865 3.932 0.865
Sb 1.534 6.331 -1.534
Sb 3.264 3.264 3.264
Sb -1.534 1.534 6.331
Pt 4.797 -2.399 3.598
Pt 3.598 4.797 -2.399
Pt 4.797 2.399 1.199
Pt 2.399 1.199 4.797
Pt 1.199 4.797 2.399
Pt -2.399 3.598 4.797
CELL_PARAMETERS angstrom
-4.797 4.797 4.797
4.797 -4.797 4.797
4.797 4.797 -4.797
! Density (g/cm3): 13.435
! Space group: I-43d
! E (eV/cell): -1353.1